TlTcTe2 | GGA-PBE | relaxed

Uncorrected formation energy ... 162 meV per atom
Total magnetic moment ... 0.000 μB per atom
Crystal system ... tetragonal
Relative energy among the computed polymorphs ... 0.140 eV per atom

Geometry as extended XYZ:
```
8
Lattice="-3.920 3.920 4.301 3.920 -3.920 4.301 3.920 3.920 -4.301" Properties=species:S:1:pos:R:3 pbc="T T T"
Tl 0.000 0.000 0.000
Tl 0.000 3.920 2.150
Tc 3.920 0.000 2.150
Tc 0.000 0.000 4.301
Te 1.960 2.660 -1.075
Te 5.179 1.960 1.075
Te 1.960 1.259 3.226
Te -1.259 1.960 5.376
```


Tl2TcTe | GGA-PBE | relaxed

Uncorrected formation energy ... 282 meV per atom
Total magnetic moment ... 0.000 μB per atom
Crystal system ... orthorhombic
Relative energy among the computed polymorphs ... 0.121 eV per atom

Geometry as extended XYZ:
```
4
Lattice="-1.629 2.352 6.800 1.629 -2.352 6.800 1.629 2.352 -6.800" Properties=species:S:1:pos:R:3 pbc="T T T"
Tl 0.000 0.000 0.000
Tl 0.000 2.352 2.397
Tc 0.000 0.000 6.499
Te 1.629 0.000 4.404
```


Tl2TcTe | GGA-PBE | relaxed

Uncorrected formation energy ... 641 meV per atom
Total magnetic moment ... 0.754 μB per atom
Crystal system ... tetragonal
Relative energy among the computed polymorphs ... 0.481 eV per atom

Geometry as extended XYZ:
```
4
Lattice="-2.149 2.149 5.589 2.149 -2.149 5.589 2.149 2.149 -5.589" Properties=species:S:1:pos:R:3 pbc="T T T"
Tl 2.149 0.000 2.795
Tl 0.000 2.149 2.795
Tc 0.000 0.000 0.000
Te 0.000 0.000 5.589
```


Tl2TcTe | GGA-PBE | relaxed

Uncorrected formation energy ... 892 meV per atom
Total magnetic moment ... 0.816 μB per atom
Crystal system ... cubic
Relative energy among the computed polymorphs ... 0.731 eV per atom

Geometry as extended XYZ:
```
4
Lattice="0.000 3.784 3.784 3.784 0.000 3.784 3.784 3.784 0.000" Properties=species:S:1:pos:R:3 pbc="T T T"
Tl 1.892 1.892 1.892
Tl 5.676 5.676 5.676
Tc 0.000 0.000 0.000
Te 3.784 3.784 3.784
```